Record 1
Compound: Lu2N
Source: OQMD via LeMat-Bulk
Functional: PBE
Structure: relaxed

## Properties
VASP energy: -5.9768 eV per atom
Size of the total moment: 0.080 μB/atom
Symmetry: Fd-3m

Unit cell a=7.0535 b=7.0535 c=7.0535 alpha=60.00 beta=60.00 gamma=60.00
With the nearest neighbours (Å) after each atom.
Fractional positions:
Lu1 0.8750 0.3750 0.3750  2 N 2.16
Lu2 0.3750 0.3750 0.3750  2 N 2.16
Lu3 0.3750 0.8750 0.3750  2 N 2.16
Lu4 0.3750 0.3750 0.8750  2 N 2.16
N1 0.2500 0.2500 0.2500  4 Lu 2.16
N2 0.5000 0.5000 0.5000  4 Lu 2.16

---

Record 2
Compound: Lu2Al2O5
Source: OQMD via LeMat-Bulk
Functional: PBE
Structure: relaxed

## Properties
Size of the total moment: 0.000 μB/atom
ΔE to the lowest computed polymorph: 0.0000 eV per atom
Symmetry: P4/mmm

Unit cell a=6.8452 b=3.6788 c=3.6788 alpha=90.00 beta=90.00 gamma=90.00
With the nearest neighbours (Å) after each atom.
Fractional positions:
Al1 0.2261 0.5000 0.5000  5 O 1.84-1.87
Al2 0.7739 0.5000 0.5000  5 O 1.84-1.87
Lu1 0.0000 0.0000 0.0000  8 O 2.46
Lu2 0.5000 0.0000 0.0000  12 O 2.56-2.60
O1 0.2389 0.5000 0.0000  2 Al 1.84
O2 0.7611 0.5000 0.0000  2 Al 1.84
O3 0.2389 0.0000 0.5000  2 Al 1.84
O4 0.7611 0.0000 0.5000  2 Al 1.84
O5 0.5000 0.5000 0.5000  2 Al 1.87

---

Record 3
Compound: KLu2S4
Source: OQMD via LeMat-Bulk
Functional: PBE
Structure: relaxed

## Properties
VASP energy: -5.3996 eV per atom
Size of the total moment: 0.143 μB/atom
Symmetry: Fd-3m

Unit cell a=8.2244 b=8.2244 c=8.2244 alpha=60.00 beta=60.00 gamma=60.00
With the nearest neighbours (Å) after each atom.
Fractional positions:
K1 0.0000 0.0000 0.0000  4 S 2.92
K2 0.2500 0.2500 0.2500  4 S 2.92
Lu1 0.6250 0.6250 0.1250  6 S 2.70
Lu2 0.6250 0.1250 0.6250  6 S 2.70
Lu3 0.1250 0.6250 0.6250  6 S 2.70
Lu4 0.6250 0.6250 0.6250  6 S 2.70
S1 0.3949 0.3949 0.3949  3 Lu 2.70, 1 K 2.92
S2 0.8153 0.3949 0.3949  3 Lu 2.70, 1 K 2.92
S3 0.3949 0.8153 0.3949  3 Lu 2.70, 1 K 2.92
S4 0.8551 0.8551 0.4347  3 Lu 2.70, 1 K 2.92
S5 0.3949 0.3949 0.8153  3 Lu 2.70, 1 K 2.92
S6 0.8551 0.4347 0.8551  3 Lu 2.70, 1 K 2.92
S7 0.4347 0.8551 0.8551  3 Lu 2.70, 1 K 2.92
S8 0.8551 0.8551 0.8551  3 Lu 2.70, 1 K 2.92

---

Record 4
Compound: ScPaSb
Source: OQMD via LeMat-Bulk
Functional: PBE
Structure: relaxed

## Properties
Size of the total moment: 1.263 μB/atom
ΔE to the lowest computed polymorph: 0.2496 eV per atom
Symmetry: F-43m

Unit cell a=5.0723 b=5.0723 c=5.0723 alpha=60.00 beta=60.00 gamma=60.00
With the nearest neighbours (Å) after each atom.
Fractional positions:
Pa1 0.0000 0.0000 0.0000  4 Sc 3.11, 4 Sb 3.11
Sb1 0.2500 0.2500 0.2500  4 Pa 3.11
Sc1 0.7500 0.7500 0.7500  4 Pa 3.11

---

Record 5
Compound: Lu2B2O5
Source: OQMD via LeMat-Bulk
Functional: PBE
Structure: relaxed

## Properties
Size of the total moment: 0.013 μB/atom
ΔE to the lowest computed polymorph: 0.9973 eV per atom
Symmetry: P4/mmm

Unit cell a=8.5170 b=3.6220 c=3.6220 alpha=90.00 beta=90.00 gamma=90.00
With the nearest neighbours (Å) after each atom.
Fractional positions:
B1 0.0000 0.0000 0.0000  8 O 2.13
B2 0.5000 0.0000 0.0000  4 O 2.56
Lu1 0.2502 0.5000 0.5000  5 O 2.07-2.13
Lu2 0.7498 0.5000 0.5000  5 O 2.07-2.13
O1 0.1320 0.5000 0.0000  2 Lu 2.07, 2 B 2.13, 1 O 2.25
O2 0.8680 0.5000 0.0000  2 Lu 2.07, 2 B 2.13, 1 O 2.25
O3 0.1320 0.0000 0.5000  2 Lu 2.07, 2 B 2.13, 1 O 2.25
O4 0.8680 0.0000 0.5000  2 Lu 2.07, 2 B 2.13, 1 O 2.25
O5 0.5000 0.5000 0.5000  2 Lu 2.13

---

Record 6
Compound: MgCdInNi
Source: OQMD via LeMat-Bulk
Functional: PBE
Structure: relaxed

## Properties
VASP energy: -2.7041 eV per atom
Size of the total moment: 0.001 μB/atom
Symmetry: F-43m

Unit cell a=4.6576 b=4.6576 c=4.6576 alpha=60.00 beta=60.00 gamma=60.00
With the nearest neighbours (Å) after each atom.
Fractional positions:
Cd1 0.5000 0.5000 0.5000  4 Mg 2.85, 4 Ni 2.85
In1 0.0000 0.0000 0.0000  4 Mg 2.85, 4 Ni 2.85
Mg1 0.2500 0.2500 0.2500  4 Cd 2.85, 4 In 2.85
Ni1 0.7500 0.7500 0.7500  4 Cd 2.85, 4 In 2.85

---

Record 7
Compound: HfCdAu
Source: OQMD via LeMat-Bulk
Functional: PBE
Structure: relaxed

## Properties
Formation energy from the elements: -0.65 eV per formula unit
Size of the total moment: 0.030 μB/atom
Symmetry: P4/mmm

Unit cell a=3.3479 b=3.3479 c=10.5794 alpha=90.00 beta=90.00 gamma=90.00
With the nearest neighbours (Å) after each atom.
Fractional positions:
Au1 0.0000 0.0000 0.1582  4 Hf 2.90, 4 Cd 2.92
Au2 0.0000 0.0000 0.8418  4 Hf 2.90, 4 Cd 2.92
Cd1 0.5000 0.5000 0.3200  4 Au 2.92, 4 Hf 3.04
Cd2 0.5000 0.5000 0.6800  4 Au 2.92, 4 Hf 3.04
Hf1 0.5000 0.5000 0.0000  8 Au 2.90
Hf2 0.0000 0.0000 0.5000  8 Cd 3.04, 4 Hf 3.35

---

Record 8
Compound: GdHoTe2
Source: OQMD via LeMat-Bulk
Functional: PBE
Structure: relaxed

## Properties
Size of the total moment: 0.001 μB/atom
ΔE to the lowest computed polymorph: 0.0000 eV per atom
Symmetry: P-3m1

Unit cell a=4.2210 b=4.2210 c=7.6767 alpha=90.00 beta=90.00 gamma=120.00
With the nearest neighbours (Å) after each atom.
Fractional positions:
Gd1 0.0000 0.0000 0.0000  6 Te 3.13
Ho1 0.0000 0.0000 0.5000  6 Te 3.08
Te1 0.3333 0.6667 0.2555  3 Ho 3.08, 3 Gd 3.13
Te2 0.6667 0.3333 0.7445  3 Ho 3.08, 3 Gd 3.13